Record 1
# ZrTe2P, optimized geometry, DFT PBE-GGA
data_ZrTe2P
_chemical_formula_sum 'Zr4 Te8 P4'
_cell_length_a 6.240
_cell_length_b 6.240
_cell_length_c 13.685
_cell_angle_alpha 90.00
_cell_angle_beta 90.00
_cell_angle_gamma 90.00
_space_group_name_H-M_alt 'I -4 2 d'
_space_group_IT_number 122
_space_group_name_Hall 'I -4 2bw'
loop_
_atom_site_label
_atom_site_type_symbol
_atom_site_fract_x
_atom_site_fract_y
_atom_site_fract_z
Zr1 Zr 0.000 0.000 0.000
Te1 Te 0.239 0.250 0.625
P1 P 0.000 0.000 0.500
# Formation energy (no corrections)   0.273 eV per atom
# DOS(E_F)   12.2 states/eV/cell
# M_tot   0.223 μB per atom
# Offset from the most stable computed form   829 meV/atom

***

Record 2
# YTaIr, optimized geometry, DFT PBE-GGA
data_YTaIr
_chemical_formula_sum 'Y2 Ta2 Ir2'
_cell_length_a 3.257
_cell_length_b 3.257
_cell_length_c 11.566
_cell_angle_alpha 90.00
_cell_angle_beta 90.00
_cell_angle_gamma 90.00
_space_group_name_H-M_alt 'I 4 m m'
_space_group_IT_number 107
_space_group_name_Hall 'I 4 -2'
loop_
_atom_site_label
_atom_site_type_symbol
_atom_site_fract_x
_atom_site_fract_y
_atom_site_fract_z
Y1 Y 0.000 0.000 0.000
Ta1 Ta 0.000 0.000 0.301
Ir1 Ir 0.000 0.000 0.685
# DOS(E_F)   8.1 states/eV/cell
# M_tot   0.000 μB per atom
# E_form   -0.295 eV/atom
# Offset from the most stable computed form   282 meV/atom

***

Record 3
# ScAgIN2, optimized geometry, DFT PBE-GGA
data_ScAgIN2
_chemical_formula_sum 'Sc1 Ag1 I1 N2'
_cell_length_a 4.196
_cell_length_b 4.196
_cell_length_c 5.642
_cell_angle_alpha 90.00
_cell_angle_beta 90.00
_cell_angle_gamma 90.00
_space_group_name_H-M_alt 'P 4/m m m'
_space_group_IT_number 123
_space_group_name_Hall '-P 4 2'
loop_
_atom_site_label
_atom_site_type_symbol
_atom_site_fract_x
_atom_site_fract_y
_atom_site_fract_z
Sc1 Sc 0.000 0.000 0.000
Ag1 Ag 0.500 0.500 0.500
I1 I 0.500 0.500 0.000
N1 N 0.000 0.500 0.500
# Formation energy (no corrections)   1.425 eV per atom
# DOS(E_F)   3.9 states/eV/cell
# M_tot   0.326 μB per atom
# Offset from the most stable computed form   827 meV/atom

***

Record 4
# SbOsN2, optimized geometry, DFT PBE-GGA
data_SbOsN2
_chemical_formula_sum 'Sb4 Os4 N8'
_cell_length_a 5.301
_cell_length_b 5.301
_cell_length_c 8.984
_cell_angle_alpha 90.00
_cell_angle_beta 90.00
_cell_angle_gamma 90.00
_space_group_name_H-M_alt 'I -4 2 d'
_space_group_IT_number 122
_space_group_name_Hall 'I -4 2bw'
loop_
_atom_site_label
_atom_site_type_symbol
_atom_site_fract_x
_atom_site_fract_y
_atom_site_fract_z
Sb1 Sb 0.000 0.000 0.000
Os1 Os 0.000 0.000 0.500
N1 N 0.156 0.250 0.625
# Formation energy (no corrections)   0.803 eV per atom
# DOS(E_F)   13.6 states/eV/cell
# M_tot   0.000 μB per atom

***

Record 5
# LaNd4Dy, optimized geometry, DFT PBE-GGA
data_LaNd4Dy
_chemical_formula_sum 'La2 Nd8 Dy2'
_cell_length_a 11.972
_cell_length_b 3.496
_cell_length_c 11.709
_cell_angle_alpha 90.00
_cell_angle_beta 119.37
_cell_angle_gamma 90.00
_space_group_name_H-M_alt 'C 1 2/m 1'
_space_group_IT_number 12
loop_
_space_group_symop_operation_xyz
'x,y,z'
'-x,-y,-z'
'-x,y,-z'
'x,-y,z'
'x+1/2,y+1/2,z'
'-x+1/2,-y+1/2,-z'
'-x+1/2,y+1/2,-z'
'x+1/2,-y+1/2,z'
loop_
_atom_site_label
_atom_site_type_symbol
_atom_site_fract_x
_atom_site_fract_y
_atom_site_fract_z
La1 La 0.000 0.000 0.000
Nd1 Nd 0.187 0.000 0.841
Nd2 Nd 0.192 0.000 0.347
Dy1 Dy 0.000 0.000 0.500
# DOS(E_F)   23.0 states/eV/cell
# M_tot   0.000 μB per atom
# E_form   0.174 eV/atom
# Offset from the most stable computed form   155 meV/atom

***

Record 6
# SrCa8, optimized geometry, DFT PBE-GGA
data_SrCa8
_chemical_formula_sum 'Sr2 Ca16'
_cell_length_a 11.804
_cell_length_b 11.804
_cell_length_c 5.590
_cell_angle_alpha 90.00
_cell_angle_beta 90.00
_cell_angle_gamma 90.00
_space_group_name_H-M_alt 'I 4/m m m'
_space_group_IT_number 139
_space_group_name_Hall '-I 4 2'
loop_
_atom_site_label
_atom_site_type_symbol
_atom_site_fract_x
_atom_site_fract_y
_atom_site_fract_z
Sr1 Sr 0.000 0.000 0.000
Ca1 Ca 0.000 0.336 0.000
Ca2 Ca 0.170 0.170 0.500
# DOS(E_F)   24.2 states/eV/cell
# M_tot   0.000 μB per atom
# E_form   0.007 eV/atom

***

Record 7
# LaGeRu, optimized geometry, DFT PBE-GGA
data_LaGeRu
_chemical_formula_sum 'La4 Ge4 Ru4'
_cell_length_a 4.351
_cell_length_b 4.351
_cell_length_c 14.326
_cell_angle_alpha 90.00
_cell_angle_beta 90.00
_cell_angle_gamma 90.00
_space_group_name_H-M_alt 'I 4/m m m'
_space_group_IT_number 139
_space_group_name_Hall '-I 4 2'
loop_
_atom_site_label
_atom_site_type_symbol
_atom_site_fract_x
_atom_site_fract_y
_atom_site_fract_z
La1 La 0.000 0.000 0.145
Ge1 Ge 0.000 0.000 0.399
Ru1 Ru 0.000 0.500 0.000
# DOS(E_F)   5.3 states/eV/cell
# M_tot   0.000 μB per atom
# E_form   -0.703 eV/atom

***

Record 8
# CsTlCu2Se2, optimized geometry, DFT PBE-GGA
data_CsTlCu2Se2
_chemical_formula_sum 'Cs4 Tl4 Cu8 Se8'
_cell_length_a 9.969
_cell_length_b 14.879
_cell_length_c 5.309
_cell_angle_alpha 90.00
_cell_angle_beta 90.00
_cell_angle_gamma 90.00
_space_group_name_H-M_alt 'C m c m'
_space_group_IT_number 63
_space_group_name_Hall '-C 2c 2'
loop_
_atom_site_label
_atom_site_type_symbol
_atom_site_fract_x
_atom_site_fract_y
_atom_site_fract_z
Cs1 Cs 0.000 0.171 0.250
Tl1 Tl 0.000 0.388 0.750
Cu1 Cu 0.228 0.500 0.000
Se1 Se 0.235 0.375 0.250
# Formation energy (no corrections)   -0.487 eV per atom
# M_tot   0.000 μB per atom

***

Record 9
# BiSbTe2C, optimized geometry, DFT PBE-GGA
data_BiSbTe2C
_chemical_formula_sum 'Bi1 Sb1 Te2 C1'
_cell_length_a 5.993
_cell_length_b 5.993
_cell_length_c 5.853
_cell_angle_alpha 90.00
_cell_angle_beta 90.00
_cell_angle_gamma 90.00
_space_group_name_H-M_alt 'P 4/m m m'
_space_group_IT_number 123
_space_group_name_Hall '-P 4 2'
loop_
_atom_site_label
_atom_site_type_symbol
_atom_site_fract_x
_atom_site_fract_y
_atom_site_fract_z
Bi1 Bi 0.000 0.000 0.000
Sb1 Sb 0.000 0.000 0.500
Te1 Te 0.000 0.500 0.000
C1 C 0.500 0.500 0.500
# Formation energy (no corrections)   2.091 eV per atom
# DOS(E_F)   9.5 states/eV/cell
# M_tot   0.349 μB per atom
# Offset from the most stable computed form   1221 meV/atom

***

Record 10
# TbCeSeS2, optimized geometry, DFT PBE-GGA
data_TbCeSeS2
_chemical_formula_sum 'Tb4 Ce4 Se4 S8'
_cell_length_a 6.235
_cell_length_b 13.564
_cell_length_c 6.224
_cell_angle_alpha 90.00
_cell_angle_beta 90.00
_cell_angle_gamma 90.00
_space_group_name_H-M_alt 'C m c m'
_space_group_IT_number 63
_space_group_name_Hall '-C 2c 2'
loop_
_atom_site_label
_atom_site_type_symbol
_atom_site_fract_x
_atom_site_fract_y
_atom_site_fract_z
Tb1 Tb 0.000 0.109 0.250
Ce1 Ce 0.000 0.380 0.250
Se1 Se 0.000 0.250 0.750
S1 S 0.249 0.500 0.000
# Formation energy (no corrections)   -1.583 eV per atom
# DOS(E_F)   21.7 states/eV/cell
# M_tot   0.200 μB per atom

***

Record 11
# TcHg2Pt, optimized geometry, DFT PBE-GGA
data_TcHg2Pt
_chemical_formula_sum 'Tc3 Hg6 Pt3'
_cell_length_a 2.9348
_cell_length_b 2.9348
_cell_length_c 29.7854
_cell_angle_alpha 90.00
_cell_angle_beta 90.00
_cell_angle_gamma 120.00
_space_group_name_H-M_alt 'R 3 m'
_space_group_IT_number 160
_space_group_name_Hall 'R 3 -2"'
loop_
_atom_site_label
_atom_site_type_symbol
_atom_site_fract_x
_atom_site_fract_y
_atom_site_fract_z
Tc1 Tc 0.0000 0.0000 0.0000
Hg1 Hg 0.0000 0.0000 0.5141
Hg2 Hg 0.0000 0.0000 0.7486
Pt1 Pt 0.0000 0.0000 0.2646
# DOS(E_F)   10.9 states/eV/cell
# M_tot   0.000 μB per atom
# E_form   0.287 eV/atom
# Offset from the most stable computed form   83 meV/atom

***

Record 12
# CdAgBPd2, optimized geometry, DFT PBE-GGA
data_CdAgBPd2
_chemical_formula_sum 'Cd1 Ag1 B1 Pd2'
_cell_length_a 4.212
_cell_length_b 4.212
_cell_length_c 4.410
_cell_angle_alpha 90.00
_cell_angle_beta 90.00
_cell_angle_gamma 90.00
_space_group_name_H-M_alt 'P 4/m m m'
_space_group_IT_number 123
_space_group_name_Hall '-P 4 2'
loop_
_atom_site_label
_atom_site_type_symbol
_atom_site_fract_x
_atom_site_fract_y
_atom_site_fract_z
Cd1 Cd 0.000 0.000 0.000
Ag1 Ag 0.500 0.500 0.000
B1 B 0.500 0.500 0.500
Pd1 Pd 0.000 0.500 0.500
# DOS(E_F)   2.3 states/eV/cell
# M_tot   0.000 μB per atom
# E_form   -0.090 eV/atom

***

Calculated values (eV/atom) of energy for the records, taken in order: -4.7870 -9.3545 -4.0514 -7.1975 -4.5931 -1.9588 -6.9761 -3.5510 -2.6111 -6.0436 -3.9654 -4.2562.